! BeCoAu2 | Alexandria via LeMat-Bulk | GGA-PBE | relaxed; values from VASP
! Fermi-level density of states ... 0.7828 states/eV/atom
! Formation energy ... 0.041 eV per atom
&SYSTEM
  ibrav = 0, nat = 4, ntyp = 3
/
ATOMIC_SPECIES
Be 9.01 Be.upf
Co 58.93 Co.upf
Au 196.97 Au.upf
CELL_PARAMETERS angstrom
2.813 0.000 0.000
0.000 3.263 0.000
-1.399 0.000 6.120
ATOMIC_POSITIONS angstrom
Be 0.000 0.000 0.000
Co 1.402 1.632 0.707
Au -0.007 0.000 2.407
Au 1.401 1.632 4.445